# PBE AcLaNd, optimized geometry
data_AcLaNd
_space_group_name_H-M_alt 'P 3 m 1'
_space_group_IT_number 156
_cell_length_a 3.8211
_cell_length_b 3.8211
_cell_length_c 9.2617
_cell_angle_alpha 90.00
_cell_angle_beta 90.00
_cell_angle_gamma 120.00
loop_
_space_group_symop_operation_xyz
'x,y,z'
'-y,x-y,z'
'-x+y,-x,z'
'-y,-x,z'
'-x+y,y,z'
'x,x-y,z'
loop_
_atom_site_label
_atom_site_type_symbol
_atom_site_fract_x
_atom_site_fract_y
_atom_site_fract_z
_atom_site_occupancy
Ac1 Ac 0.0000 0.0000 0.0000 1
La1 La 0.3333 0.6667 0.6580 1
Nd1 Nd 0.6667 0.3333 0.3361 1
# energy of formation = 0.03 eV per atom
# energy above the most stable polymorph in this dataset = 0.7 kJ per mole of atoms
# DFT total energy = -13.7 eV per cell